## Tl2InFeO6 (GGA+U)

Data for crystalline Tl2InFeO6 at its relaxed geometry.

Computed properties:
final energy: -5.166 eV/atom

Cell: 5.7202 5.7202 5.7202 Å, 58.14 58.14 58.14°
Last column: nearest neighbours and their distance in Å.
Sites, in units of the cell vectors:
Tl (0.0000, 0.0000, 0.0000)  3 O 2.22
Tl (0.4937, 0.4937, 0.4937)  6 O 2.21-2.46
In (0.2686, 0.2686, 0.2686)  6 O 2.15-2.26
Fe (0.7758, 0.7758, 0.7758)  6 O 1.99-2.00
O (0.0349, 0.4262, 0.6509)  1 Fe 1.99, 1 Tl 2.22
O (0.1269, 0.8959, 0.5673)  1 Fe 2.00, 1 In 2.15, 1 Tl 2.21
O (0.4262, 0.6509, 0.0349)  1 Fe 1.99, 1 Tl 2.22
O (0.5673, 0.1269, 0.8959)  1 Fe 2.00, 1 In 2.15, 1 Tl 2.21
O (0.6509, 0.0349, 0.4262)  1 Fe 1.99, 1 Tl 2.22
O (0.8959, 0.5673, 0.1269)  1 Fe 2.00, 1 In 2.15, 1 Tl 2.21